# YBe2Cl

Crystalline YBe2Cl at its relaxed geometry (PBE, the Alexandria database).

- Total DFT energy (no corrections): -0.2815 Ry/atom
- V: 75 Å³/cell
- ρ: 3.14 g/cm³
- E_form (uncorrected): 111 meV per atom
- Magnetic moment: 0.000 μB/atom

Cell and atoms, written as POSCAR:
```
YBe2Cl
1.0
5.0819 -0.0429 0.0186
1.4210 4.8793 -0.0186
-2.9867 -2.7741 3.0350
Cl Be Y
1 2 1
direct
0.4685 0.4685 0.0000
0.9549 0.9549 0.0000
0.8590 0.3590 0.5000
0.2176 0.7176 0.5000
```

# Y2BeCl

Crystalline Y2BeCl at its relaxed geometry (PBE, the Alexandria database).

- Total DFT energy (no corrections): -0.3572 Ry/atom
- V: 116 Å³/cell
- ρ: 3.17 g/cm³
- E_form (uncorrected): -235 meV per atom
- Magnetic moment: 0.001 μB/atom

Cell and atoms, written as POSCAR:
```
Y2BeCl
1.0
3.4487 0.0000 0.0000
0.0000 3.4487 0.0000
0.0000 0.0000 9.7752
Cl Y Be
1 2 1
direct
0.5000 0.5000 0.8258
0.5000 0.5000 0.2664
0.0000 0.0000 0.9865
0.0000 0.0000 0.4212
```

# YBeCl2

Crystalline YBeCl2 at its relaxed geometry (PBE, the Alexandria database).

- Total DFT energy (no corrections): -0.3220 Ry/atom
- V: 93 Å³/cell
- ρ: 3.03 g/cm³
- E_form (uncorrected): -910 meV per atom
- Magnetic moment: 0.042 μB/atom

Cell and atoms, written as POSCAR:
```
YBeCl2
1.0
5.4864 0.0125 -0.3070
4.3038 3.4026 -0.3070
-1.4601 -0.5093 5.0656
Y Cl Be
1 2 1
direct
0.5024 0.5024 0.6267
0.1592 0.1592 0.0125
0.8061 0.8061 0.6373
0.0323 0.0323 0.2235
```

# YBeCl2

Crystalline YBeCl2 at its relaxed geometry (PBE, the Alexandria database).

- Total DFT energy (no corrections): -0.2917 Ry/atom
- V: 79 Å³/cell
- ρ: 3.55 g/cm³
- E_form (uncorrected): -498 meV per atom
- Magnetic moment: 0.000 μB/atom

Cell and atoms, written as POSCAR:
```
YBeCl2
1.0
5.8468 0.0147 0.0000
3.2115 4.8859 0.0000
-4.5291 -2.4503 2.7691
Be Cl Y
1 2 1
direct
0.7500 0.2500 0.5000
0.0000 0.0000 0.0000
0.2500 0.7500 0.5000
0.5000 0.5000 0.0000
```

# YBeCl2

Crystalline YBeCl2 at its relaxed geometry (PBE, the Alexandria database).

- Total DFT energy (no corrections): -0.2999 Ry/atom
- V: 107 Å³/cell
- ρ: 2.63 g/cm³
- E_form (uncorrected): -609 meV per atom
- Magnetic moment: 0.000 μB/atom

Cell and atoms, written as POSCAR:
```
YBeCl2
1.0
3.3183 0.0000 0.0000
0.0000 3.3183 0.0000
0.0000 0.0000 9.6976
Cl Be Y
2 1 1
direct
0.0000 0.0000 0.0855
0.0000 0.0000 0.4145
0.5000 0.5000 0.7500
0.5000 0.5000 0.2500
```

# YBeCl2

Crystalline YBeCl2 at its relaxed geometry (PBE, the Alexandria database).

- Total DFT energy (no corrections): -0.2993 Ry/atom
- V: 116 Å³/cell
- ρ: 2.42 g/cm³
- E_form (uncorrected): -601 meV per atom
- Magnetic moment: 0.121 μB/atom

Cell and atoms, written as POSCAR:
```
YBeCl2
1.0
-6.7736 5.3930 6.1104
-8.5819 5.4381 3.0134
-8.8522 2.6134 5.2068
Cl Be Y
2 1 1
direct
0.9736 0.9736 0.9736
0.5264 0.5264 0.5264
0.7500 0.7500 0.7500
0.2500 0.2500 0.2500
```

# YBe2Cl

Crystalline YBe2Cl at its relaxed geometry (PBE, the Alexandria database).

- Total DFT energy (no corrections): -0.2782 Ry/atom
- V: 69 Å³/cell
- ρ: 3.44 g/cm³
- E_form (uncorrected): 155 meV per atom
- Magnetic moment: 0.000 μB/atom

Cell and atoms, written as POSCAR:
```
YBe2Cl
1.0
4.9265 -0.0269 0.0000
1.4160 4.7187 0.0000
-3.1713 -2.3459 2.9515
Be Cl Y
2 1 1
direct
0.2500 0.7500 0.5000
0.0000 0.0000 0.0000
0.5000 0.5000 0.0000
0.7500 0.2500 0.5000
```

# Y2BeCl

Crystalline Y2BeCl at its relaxed geometry (PBE, the Alexandria database).

- Total DFT energy (no corrections): -0.3676 Ry/atom
- V: 88 Å³/cell
- ρ: 4.21 g/cm³
- E_form (uncorrected): -376 meV per atom
- Magnetic moment: 0.000 μB/atom

Cell and atoms, written as POSCAR:
```
Y2BeCl
1.0
-1.3064 3.6797 6.1391
-0.5751 -5.1093 -0.9731
2.3015 -1.2376 2.0278
Y Be Cl
2 1 1
direct
0.5000 0.0000 0.5000
0.0000 0.0000 0.0000
0.0000 0.5000 0.5000
0.5000 0.5000 0.0000
```

# Y4BeCl

Crystalline Y4BeCl at its relaxed geometry (PBE, the Alexandria database).

- Total DFT energy (no corrections): -0.3372 Ry/atom
- V: 181 Å³/cell
- ρ: 3.67 g/cm³
- E_form (uncorrected): 651 meV per atom
- Magnetic moment: 0.000 μB/atom

Cell and atoms, written as POSCAR:
```
Y4BeCl
1.0
-3.2349 -2.7701 -4.7076
-5.9712 1.7753 -1.2216
-1.3249 3.2563 -5.2858
Y Cl Be
4 1 1
direct
0.3769 0.3769 0.3769
0.3769 0.3769 0.8693
0.8693 0.3769 0.3769
0.3769 0.8693 0.3769
0.0000 0.0000 0.0000
0.7500 0.7500 0.7500
```

# YBeCl2

Crystalline YBeCl2 at its relaxed geometry (PBE, the Alexandria database).

- Total DFT energy (no corrections): -0.3116 Ry/atom
- V: 119 Å³/cell
- ρ: 2.36 g/cm³
- E_form (uncorrected): -768 meV per atom
- Magnetic moment: 0.000 μB/atom

Cell and atoms, written as POSCAR:
```
YBeCl2
1.0
-1.0771 -7.4805 -0.0071
0.6698 -6.8254 3.1755
-3.9024 -0.8454 2.3159
Y Cl Be
1 2 1
direct
0.7500 0.7500 0.7500
0.3914 0.3914 0.6097
0.1086 0.1086 0.8903
0.2500 0.2500 0.2500
```

# YBeCl2

Crystalline YBeCl2 at its relaxed geometry (PBE, the Alexandria database).

- Total DFT energy (no corrections): -0.3252 Ry/atom
- V: 102 Å³/cell
- ρ: 2.75 g/cm³
- E_form (uncorrected): -954 meV per atom
- Magnetic moment: 0.114 μB/atom

Cell and atoms, written as POSCAR:
```
YBeCl2
1.0
3.4585 0.0000 0.0000
0.0000 3.5703 0.0135
0.0000 0.0076 8.2510
Y Be Cl
1 1 2
direct
0.0000 0.3764 0.5486
0.5000 0.8740 0.7520
0.5000 0.3783 0.3060
0.0000 0.8712 0.8935
```

# Y2BeCl

Crystalline Y2BeCl at its relaxed geometry (PBE, the Alexandria database).

- Total DFT energy (no corrections): -0.3609 Ry/atom
- V: 88 Å³/cell
- ρ: 4.21 g/cm³
- E_form (uncorrected): -285 meV per atom
- Magnetic moment: 0.000 μB/atom

Cell and atoms, written as POSCAR:
```
Y2BeCl
1.0
0.0000 3.5265 3.5265
3.5265 0.0000 3.5265
3.5265 3.5265 0.0000
Be Cl Y
1 1 2
direct
0.0000 0.0000 0.0000
0.5000 0.5000 0.5000
0.7500 0.7500 0.7500
0.2500 0.2500 0.2500
```

# Y2BeCl

Crystalline Y2BeCl at its relaxed geometry (PBE, the Alexandria database).

- Total DFT energy (no corrections): -0.3635 Ry/atom
- V: 92 Å³/cell
- ρ: 4.00 g/cm³
- E_form (uncorrected): -321 meV per atom
- Magnetic moment: 0.000 μB/atom

Cell and atoms, written as POSCAR:
```
Y2BeCl
1.0
-0.6086 0.4928 -5.1575
4.6746 -2.0807 -1.0156
-4.3095 -1.8660 2.2713
Cl Y Be
1 2 1
direct
0.2500 0.7500 0.5000
0.4909 0.4909 0.0000
0.0091 0.0091 0.0000
0.7500 0.2500 0.5000
```

# YBe2Cl

Crystalline YBe2Cl at its relaxed geometry (PBE, the Alexandria database).

- Total DFT energy (no corrections): -0.2781 Ry/atom
- V: 73 Å³/cell
- ρ: 3.23 g/cm³
- E_form (uncorrected): 157 meV per atom
- Magnetic moment: 0.001 μB/atom

Cell and atoms, written as POSCAR:
```
YBe2Cl
1.0
3.6794 0.0000 0.0000
0.0000 3.6794 0.0000
0.0000 0.0000 5.4025
Be Y Cl
2 1 1
direct
0.5000 0.5000 0.0000
0.0000 0.0000 0.0000
0.0000 0.5000 0.5000
0.5000 0.0000 0.5000
```

# YBeCl4

Crystalline YBeCl4 at its relaxed geometry (PBE, the Alexandria database).

- Total DFT energy (no corrections): -0.2055 Ry/atom
- V: 139 Å³/cell
- ρ: 2.87 g/cm³
- E_form (uncorrected): 133 meV per atom
- Magnetic moment: 0.174 μB/atom

Cell and atoms, written as POSCAR:
```
YBeCl4
1.0
0.8223 -0.6427 5.7142
-0.8863 4.4842 3.5843
-4.5542 -0.0199 3.6055
Cl Y Be
4 1 1
direct
0.3753 0.8741 0.3753
0.8741 0.3753 0.3753
0.3753 0.3753 0.3753
0.3753 0.3753 0.8741
0.7500 0.7500 0.7500
0.0000 0.0000 0.0000
```